Record 1
First-principles (PBE-GGA) data for a geometry-optimized Mg2MoAs structure, as listed in Alexandria via LeMat-Bulk.

Output
Total magnetization   0.20 μB/atom
Formation energy   33 kJ/mol of atoms

The structure in CIF format:
```
data_Mg2MoAs
_space_group_name_H-M_alt 'P 1'
_space_group_IT_number 1
_space_group_name_Hall 'P 1'
_cell_length_a 4.6168
_cell_length_b 4.6168
_cell_length_c 4.6168
_cell_angle_alpha 60.00
_cell_angle_beta 60.00
_cell_angle_gamma 60.00
loop_
_atom_site_label
_atom_site_fract_x
_atom_site_fract_y
_atom_site_fract_z
Mg1 0.2500 0.2500 0.2500
Mg2 0.0000 0.0000 0.0000
Mo1 0.7500 0.7500 0.7500
As1 0.5000 0.5000 0.5000
```



Record 2
First-principles (PBE-GGA) data for a geometry-optimized LiHgTeO2 structure, as listed in Alexandria via LeMat-Bulk.

Output
Formation energy from raw total energies   0.218 eV per atom
Total magnetization   0.28 μB/atom

The structure in CIF format:
```
data_LiHgTeO2
_space_group_name_H-M_alt 'P 1'
_space_group_IT_number 1
_space_group_name_Hall 'P 1'
_cell_length_a 4.2278
_cell_length_b 5.8781
_cell_length_c 4.2278
_cell_angle_alpha 90.00
_cell_angle_beta 90.00
_cell_angle_gamma 90.00
loop_
_atom_site_label
_atom_site_fract_x
_atom_site_fract_y
_atom_site_fract_z
Te1 0.0000 0.5000 0.0000
O1 0.5000 0.0000 0.0000
O2 0.0000 0.0000 0.5000
Hg1 0.0000 0.0000 0.0000
Li1 0.5000 0.5000 0.5000
```



Record 3
First-principles (PBE-GGA) data for a geometry-optimized Nb2Al2Sb structure, as listed in Alexandria via LeMat-Bulk.

Output
Formation energy from raw total energies   -0.063 eV per atom
Total magnetization   0.00 μB/atom
Polymorph energy (0 for the lowest one)   0.0 meV/atom

The structure in CIF format:
```
data_Nb2Al2Sb
_space_group_name_H-M_alt 'P 1'
_space_group_IT_number 1
_space_group_name_Hall 'P 1'
_cell_length_a 7.0766
_cell_length_b 7.0766
_cell_length_c 3.8782
_cell_angle_alpha 90.00
_cell_angle_beta 90.00
_cell_angle_gamma 90.00
loop_
_atom_site_label
_atom_site_fract_x
_atom_site_fract_y
_atom_site_fract_z
Nb1 0.3593 0.8593 0.0000
Nb2 0.6407 0.1407 0.0000
Nb3 0.1407 0.3593 0.0000
Nb4 0.8593 0.6407 0.0000
Sb1 0.0000 0.0000 0.0000
Sb2 0.5000 0.5000 0.0000
Al1 0.6513 0.8487 0.5000
Al2 0.1513 0.6513 0.5000
Al3 0.3487 0.1513 0.5000
Al4 0.8487 0.3487 0.5000
```



Record 4
First-principles (PBE-GGA) data for a geometry-optimized Mg3NbRu structure, as listed in Alexandria via LeMat-Bulk.

Output
Total magnetization   0.48 μB/atom
Polymorph energy (0 for the lowest one)   995.2 meV/atom
Formation energy   183 kJ/mol of atoms

The structure in CIF format:
```
data_Mg3NbRu
_space_group_name_H-M_alt 'P 1'
_space_group_IT_number 1
_space_group_name_Hall 'P 1'
_cell_length_a 5.1576
_cell_length_b 5.1576
_cell_length_c 5.1576
_cell_angle_alpha 90.00
_cell_angle_beta 90.00
_cell_angle_gamma 90.00
loop_
_atom_site_label
_atom_site_fract_x
_atom_site_fract_y
_atom_site_fract_z
Nb1 0.0000 0.0000 0.0000
Mg1 0.5000 0.0000 0.0000
Mg2 0.0000 0.0000 0.5000
Mg3 0.0000 0.5000 0.0000
Ru1 0.5000 0.5000 0.5000
```



Record 5
First-principles (PBE-GGA) data for a geometry-optimized NdCd6Cu6 structure, as listed in Alexandria via LeMat-Bulk.

Output
Total magnetization   0.00 μB/atom
Formation energy   -7 kJ/mol of atoms

The structure in CIF format:
```
data_NdCd6Cu6
_space_group_name_H-M_alt 'P 1'
_space_group_IT_number 1
_space_group_name_Hall 'P 1'
_cell_length_a 5.2274
_cell_length_b 7.1477
_cell_length_c 7.1477
_cell_angle_alpha 82.46
_cell_angle_beta 68.55
_cell_angle_gamma 68.55
loop_
_atom_site_label
_atom_site_fract_x
_atom_site_fract_y
_atom_site_fract_z
Cu1 0.0000 0.5000 0.0000
Cu2 0.5000 0.7737 0.2263
Cu3 0.0000 0.0000 0.5000
Cu4 0.5000 0.5000 0.0000
Cu5 0.5000 0.0000 0.5000
Cu6 0.5000 0.2263 0.7737
Cd1 0.6938 0.8062 0.8062
Cd2 0.0000 0.6603 0.3397
Cd3 0.3062 0.1938 0.1938
Cd4 0.6526 0.3474 0.3474
Cd5 0.0000 0.3397 0.6603
Cd6 0.3474 0.6526 0.6526
Nd1 0.0000 0.0000 0.0000
```



Record 6
First-principles (PBE-GGA) data for a geometry-optimized TlSiTc2 structure, as listed in Alexandria via LeMat-Bulk.

Output
Formation energy from raw total energies   0.641 eV per atom
Total magnetization   0.00 μB/atom
Polymorph energy (0 for the lowest one)   505.3 meV/atom

The structure in CIF format:
```
data_TlSiTc2
_space_group_name_H-M_alt 'P 1'
_space_group_IT_number 1
_space_group_name_Hall 'P 1'
_cell_length_a 3.0885
_cell_length_b 4.9927
_cell_length_c 4.3161
_cell_angle_alpha 90.00
_cell_angle_beta 90.00
_cell_angle_gamma 90.00
loop_
_atom_site_label
_atom_site_fract_x
_atom_site_fract_y
_atom_site_fract_z
Tc1 0.0000 0.0000 0.0000
Tc2 0.5000 0.5000 0.0000
Tl1 0.5000 0.0000 0.5000
Si1 0.0000 0.5000 0.5000
```